[1]
Material: Y2Tl
Method: DFT, PBEsol
State: optimized geometry

## Properties
SG	Cmcm, No. 63
DFT formation energy	-315	meV per atom
D(E_F)	3.46	states/eV/f.u.
calculated total energy	-5.74	eV/atom

a = 4.247 Å, b = 4.920 Å, c = 8.160 Å
α = 90.00°, β = 105.08°, γ = 90.00°
Fractional positions:
1 Y 0.731 0.250 0.463
2 Y 0.424 0.250 0.849
3 Y 0.576 0.750 0.151
4 Y 0.269 0.750 0.537
5 Tl 0.090 0.250 0.179
6 Tl 0.910 0.750 0.821

=====

[2]
Material: Y2Tl
Method: DFT, PBEsol
State: optimized geometry

## Properties
SG	P6_3/mmc, No. 194
DFT formation energy	-365	meV per atom
D(E_F)	3.45	states/eV/f.u.
calculated total energy	-5.79	eV/atom

a = 5.322 Å, b = 5.322 Å, c = 6.629 Å
α = 90.00°, β = 90.00°, γ = 120.00°
Fractional positions:
1 Y 0.333 0.667 0.750
2 Y 0.667 0.333 0.250
3 Y 0.000 0.000 0.000
4 Y 0.000 0.000 0.500
5 Tl 0.667 0.333 0.750
6 Tl 0.333 0.667 0.250

=====

[3]
Material: Y2Tl
Method: DFT, PBEsol
State: optimized geometry

## Properties
SG	I4/mcm, No. 140
DFT formation energy	-272	meV per atom
D(E_F)	4.65	states/eV/f.u.
calculated total energy	-5.70	eV/atom

a = 6.106 Å, b = 6.106 Å, c = 6.106 Å
α = 106.90°, β = 106.90°, γ = 114.75°
Fractional positions:
1 Tl 0.750 0.750 0.000
2 Tl 0.250 0.250 0.000
3 Y 0.331 0.169 0.500
4 Y 0.169 0.669 0.838
5 Y 0.669 0.831 0.500
6 Y 0.831 0.331 0.162

=====

[4]
Material: Y5Tl
Method: DFT, PBEsol
State: optimized geometry

## Properties
SG	Cm, No. 8
DFT formation energy	-144	meV per atom
D(E_F)	8.15	states/eV/f.u.
calculated total energy	-6.27	eV/atom

a = 3.540 Å, b = 6.508 Å, c = 8.130 Å
α = 104.41°, β = 90.00°, γ = 105.78°
Fractional positions:
1 Y 0.061 0.122 0.604
2 Y 0.342 0.684 0.691
3 Y 0.701 0.402 0.946
4 Y 0.394 0.788 0.258
5 Y 0.674 0.349 0.335
6 Tl 0.994 0.988 0.999

=====

[5]
Material: Y2Tl
Method: DFT, PBEsol
State: optimized geometry

## Properties
SG	Fd-3m, No. 227
DFT formation energy	-322	meV per atom
D(E_F)	4.30	states/eV/f.u.
calculated total energy	-5.75	eV/atom

a = 9.867 Å, b = 9.867 Å, c = 9.867 Å
α = 60.00°, β = 60.00°, γ = 60.00°
Fractional positions:
1 Y 0.125 0.125 0.125
2 Y 0.562 0.938 0.562
3 Y 0.688 0.312 0.312
4 Y 0.562 0.562 0.938
5 Y 0.688 0.688 0.312
6 Y 0.938 0.562 0.562
7 Y 0.312 0.688 0.312
8 Y 0.125 0.625 0.125
9 Y 0.562 0.938 0.938
10 Y 0.938 0.562 0.938
11 Y 0.938 0.938 0.562
12 Y 0.312 0.312 0.688
13 Y 0.312 0.688 0.688
14 Y 0.688 0.312 0.688
15 Y 0.625 0.125 0.125
16 Y 0.125 0.125 0.625
17 Tl 0.969 0.344 0.344
18 Tl 0.344 0.969 0.344
19 Tl 0.906 0.281 0.906
20 Tl 0.906 0.906 0.906
21 Tl 0.281 0.906 0.906
22 Tl 0.906 0.906 0.281
23 Tl 0.344 0.344 0.344
24 Tl 0.344 0.344 0.969

=====

[6]
Material: Y7Tl
Method: DFT, PBEsol
State: optimized geometry

## Properties
SG	Fm-3m, No. 225
DFT formation energy	-62	meV per atom
D(E_F)	11.04	states/eV/f.u.
calculated total energy	-6.36	eV/atom

a = 6.922 Å, b = 6.922 Å, c = 6.922 Å
α = 60.00°, β = 60.00°, γ = 60.00°
Fractional positions:
1 Y 0.500 0.500 0.000
2 Y 0.500 0.500 0.500
3 Y 0.000 0.000 0.500
4 Y 0.500 0.000 0.500
5 Y 0.500 0.000 0.000
6 Y 0.000 0.500 0.000
7 Y 0.000 0.500 0.500
8 Tl 0.000 0.000 0.000

=====

[7]
Material: Y2Tl
Method: DFT, PBEsol
State: optimized geometry

## Properties
SG	I4_1/amd, No. 141
DFT formation energy	-299	meV per atom
D(E_F)	3.03	states/eV/f.u.
calculated total energy	-5.72	eV/atom

a = 4.612 Å, b = 4.612 Å, c = 15.645 Å
α = 98.48°, β = 98.48°, γ = 90.00°
Fractional positions:
1 Y 0.507 0.007 0.014
2 Y 0.663 0.163 0.326
3 Y 0.257 0.257 0.514
4 Y 0.587 0.587 0.174
5 Y 0.837 0.337 0.674
6 Y 0.993 0.493 0.986
7 Y 0.413 0.413 0.826
8 Y 0.743 0.743 0.486
9 Tl 0.173 0.673 0.345
10 Tl 0.327 0.827 0.655
11 Tl 0.923 0.923 0.845
12 Tl 0.077 0.077 0.155

=====

[8]
Material: YTl4
Method: DFT, PBEsol
State: optimized geometry

## Properties
SG	Im-3m, No. 229
DFT formation energy	176	meV per atom
D(E_F)	6.48	states/eV/f.u.
calculated total energy	-3.29	eV/atom

a = 6.063 Å, b = 6.063 Å, c = 6.063 Å
α = 109.47°, β = 109.47°, γ = 109.47°
Fractional positions:
1 Tl 0.500 0.500 0.500
2 Tl 0.000 0.000 0.500
3 Tl 0.500 0.000 0.000
4 Tl 0.000 0.500 0.000
5 Y 0.000 0.000 0.000

=====

[9]
Material: Y3Tl
Method: DFT, PBEsol
State: optimized geometry

## Properties
SG	P6_3/mmc, No. 194
DFT formation energy	-234	meV per atom
D(E_F)	5.01	states/eV/f.u.
calculated total energy	-6.01	eV/atom

a = 5.546 Å, b = 6.767 Å, c = 6.767 Å
α = 120.00°, β = 90.00°, γ = 90.00°
Fractional positions:
1 Tl 0.750 0.667 0.333
2 Tl 0.250 0.333 0.667
3 Y 0.250 0.829 0.171
4 Y 0.250 0.342 0.171
5 Y 0.750 0.171 0.342
6 Y 0.750 0.658 0.829
7 Y 0.250 0.829 0.658
8 Y 0.750 0.171 0.829

=====

[10]
Material: YTl5
Method: DFT, PBEsol
State: optimized geometry

## Properties
SG	Amm2, No. 38
DFT formation energy	-119	meV per atom
D(E_F)	3.63	states/eV/f.u.
calculated total energy	-3.45	eV/atom

a = 4.033 Å, b = 5.192 Å, c = 7.955 Å
α = 90.00°, β = 104.68°, γ = 90.00°
Fractional positions:
1 Tl 0.639 0.000 0.278
2 Tl 0.972 0.000 0.945
3 Tl 0.472 0.500 0.943
4 Tl 0.806 0.500 0.612
5 Tl 0.306 0.000 0.612
6 Y 0.139 0.500 0.277

=====

[11]
Material: Y5Tl
Method: DFT, PBEsol
State: optimized geometry

## Properties
SG	P4/mmm, No. 123
DFT formation energy	-143	meV per atom
D(E_F)	7.36	states/eV/f.u.
calculated total energy	-6.27	eV/atom

a = 3.539 Å, b = 3.539 Å, c = 14.034 Å
α = 90.00°, β = 90.00°, γ = 90.00°
Fractional positions:
1 Y 0.500 0.500 0.825
2 Y 0.500 0.500 0.175
3 Y 0.000 0.000 0.352
4 Y 0.000 0.000 0.000
5 Y 0.000 0.000 0.648
6 Tl 0.500 0.500 0.500

=====

[12]
Material: Y4Tl5
Method: DFT, PBEsol
State: optimized geometry

## Properties
SG	P6_3/mcm, No. 193
DFT formation energy	-406	meV per atom
D(E_F)	6.00	states/eV/f.u.
calculated total energy	-4.90	eV/atom

a = 6.443 Å, b = 9.193 Å, c = 9.193 Å
α = 120.00°, β = 90.00°, γ = 90.00°
Fractional positions:
1 Y 0.250 0.000 0.631
2 Y 0.250 0.631 0.000
3 Y 0.750 0.631 0.631
4 Y 0.000 0.000 0.000
5 Y 0.750 0.369 0.000
6 Y 0.750 0.000 0.369
7 Y 0.500 0.000 0.000
8 Y 0.250 0.369 0.369
9 Tl 0.750 0.702 0.000
10 Tl 0.000 0.667 0.333
11 Tl 0.000 0.333 0.667
12 Tl 0.750 0.298 0.298
13 Tl 0.750 0.000 0.702
14 Tl 0.250 0.702 0.702
15 Tl 0.500 0.333 0.667
16 Tl 0.250 0.298 0.000
17 Tl 0.500 0.667 0.333
18 Tl 0.250 0.000 0.298

=====

[13]
Material: YTl5
Method: DFT, PBEsol
State: optimized geometry

## Properties
SG	P2/m, No. 10
DFT formation energy	-131	meV per atom
D(E_F)	3.21	states/eV/f.u.
calculated total energy	-3.46	eV/atom

a = 4.452 Å, b = 4.719 Å, c = 7.737 Å
α = 78.83°, β = 90.00°, γ = 90.00°
Fractional positions:
1 Tl 0.000 0.861 0.328
2 Tl 0.000 0.139 0.672
3 Tl 0.500 0.365 0.330
4 Tl 0.500 0.000 0.000
5 Tl 0.500 0.635 0.670
6 Y 0.000 0.500 0.000

=====

[14]
Material: YTl5
Method: DFT, PBEsol
State: optimized geometry

## Properties
SG	P4/mmm, No. 123
DFT formation energy	-106	meV per atom
D(E_F)	3.62	states/eV/f.u.
calculated total energy	-3.44	eV/atom

a = 3.684 Å, b = 3.684 Å, c = 12.124 Å
α = 90.00°, β = 90.00°, γ = 90.00°
Fractional positions:
1 Y 0.500 0.500 0.500
2 Tl 0.000 0.000 0.000
3 Tl 0.000 0.000 0.342
4 Tl 0.500 0.500 0.824
5 Tl 0.500 0.500 0.176
6 Tl 0.000 0.000 0.658

=====

[15]
Material: Y4Tl5
Method: DFT, PBEsol
State: optimized geometry

## Properties
SG	I4/mmm, No. 139
DFT formation energy	-330	meV per atom
D(E_F)	7.76	states/eV/f.u.
calculated total energy	-4.82	eV/atom

a = 4.517 Å, b = 7.620 Å, c = 7.620 Å
α = 84.96°, β = 72.76°, γ = 72.76°
Fractional positions:
1 Tl 0.000 0.000 0.000
2 Tl 0.329 0.343 0.000
3 Tl 0.329 0.000 0.343
4 Tl 0.671 0.000 0.657
5 Tl 0.671 0.657 0.000
6 Y 0.000 0.688 0.312
7 Y 0.000 0.312 0.688
8 Y 0.688 0.312 0.312
9 Y 0.312 0.688 0.688

=====

[16]
Material: Y5Tl
Method: DFT, PBEsol
State: optimized geometry

## Properties
SG	Amm2, No. 38
DFT formation energy	-122	meV per atom
D(E_F)	7.04	states/eV/f.u.
calculated total energy	-6.25	eV/atom

a = 3.570 Å, b = 5.436 Å, c = 9.140 Å
α = 90.00°, β = 101.26°, γ = 90.00°
Fractional positions:
1 Y 0.453 0.500 0.906
2 Y 0.332 0.000 0.663
3 Y 0.777 0.500 0.553
4 Y 0.111 0.500 0.221
5 Y 0.660 0.000 0.321
6 Tl 0.001 0.000 0.002

=====

[17]
Material: Y4Tl
Method: DFT, PBEsol
State: optimized geometry

## Properties
SG	I4/m, No. 87
DFT formation energy	-149	meV per atom
D(E_F)	7.27	states/eV/f.u.
calculated total energy	-6.13	eV/atom

a = 4.691 Å, b = 5.937 Å, c = 5.937 Å
α = 81.02°, β = 66.73°, γ = 66.73°
Fractional positions:
1 Y 0.202 0.406 0.191
2 Y 0.798 0.594 0.809
3 Y 0.393 0.809 0.406
4 Y 0.607 0.191 0.594
5 Tl 0.000 0.000 0.000

=====

[18]
Material: Y2TlZn2
Method: DFT, PBEsol
State: optimized geometry

## Properties
SG	P4/mbm, No. 127
DFT formation energy	-403	meV per atom
D(E_F)	4.44	states/eV/f.u.
calculated total energy	-4.29	eV/atom

a = 4.257 Å, b = 7.199 Å, c = 7.199 Å
α = 90.00°, β = 90.00°, γ = 90.00°
Fractional positions:
1 Y 0.500 0.172 0.672
2 Y 0.500 0.828 0.328
3 Y 0.500 0.672 0.828
4 Y 0.500 0.328 0.172
5 Zn 0.000 0.878 0.622
6 Zn 0.000 0.378 0.878
7 Zn 0.000 0.122 0.378
8 Zn 0.000 0.622 0.122
9 Tl 0.000 0.500 0.500
10 Tl 0.000 0.000 0.000

=====

[19]
Material: Y2TlZn
Method: DFT, PBEsol
State: optimized geometry

## Properties
SG	P4/mmm, No. 123
DFT formation energy	-392	meV per atom
D(E_F)	4.27	states/eV/f.u.
calculated total energy	-4.86	eV/atom

a = 3.681 Å, b = 5.115 Å, c = 5.115 Å
α = 90.00°, β = 90.00°, γ = 90.00°
Fractional positions:
1 Y 0.000 0.500 0.000
2 Y 0.000 0.000 0.500
3 Tl 0.500 0.000 0.000
4 Zn 0.500 0.500 0.500

=====

[20]
Material: Y2TlZn
Method: DFT, PBEsol
State: optimized geometry

## Properties
SG	C2/m, No. 12
DFT formation energy	-239	meV per atom
D(E_F)	3.14	states/eV/f.u.
calculated total energy	-4.70	eV/atom

a = 3.639 Å, b = 4.969 Å, c = 6.351 Å
α = 102.27°, β = 90.00°, γ = 111.48°
Fractional positions:
1 Zn 0.000 0.000 0.500
2 Y 0.745 0.490 0.734
3 Y 0.255 0.510 0.266
4 Tl 0.500 0.000 0.000

=====

[21]
Material: Y2TlZn
Method: DFT, PBEsol
State: optimized geometry

## Properties
SG	Fm-3m, No. 225
DFT formation energy	-406	meV per atom
D(E_F)	3.96	states/eV/f.u.
calculated total energy	-4.87	eV/atom

a = 5.139 Å, b = 5.139 Å, c = 5.139 Å
α = 60.00°, β = 60.00°, γ = 60.00°
Fractional positions:
1 Tl 0.000 0.000 0.000
2 Y 0.750 0.750 0.750
3 Y 0.250 0.250 0.250
4 Zn 0.500 0.500 0.500

=====

[22]
Material: YZrTl2
Method: DFT, PBEsol
State: optimized geometry

## Properties
SG	Pmmm, No. 47
DFT formation energy	-279	meV per atom
D(E_F)	3.61	states/eV/f.u.
calculated total energy	-5.57	eV/atom

a = 3.318 Å, b = 4.276 Å, c = 6.640 Å
α = 90.00°, β = 90.00°, γ = 90.00°
Fractional positions:
1 Tl 0.000 0.000 0.738
2 Tl 0.000 0.000 0.262
3 Y 0.500 0.500 0.000
4 Zr 0.500 0.500 0.500

=====

[23]
Material: YZr3Tl
Method: DFT, PBEsol
State: optimized geometry

## Properties
SG	Pm-3m, No. 221
DFT formation energy	1277	meV per atom
D(E_F)	9.38	states/eV/f.u.
calculated total energy	-6.07	eV/atom

a = 5.080 Å, b = 5.080 Å, c = 5.080 Å
α = 90.00°, β = 90.00°, γ = 90.00°
Fractional positions:
1 Tl 0.500 0.500 0.500
2 Zr 0.000 0.000 0.500
3 Zr 0.500 0.000 0.000
4 Zr 0.000 0.500 0.000
5 Y 0.000 0.000 0.000

=====

[24]
Material: YZrTl2
Method: DFT, PBEsol
State: optimized geometry

## Properties
SG	Cmmm, No. 65
DFT formation energy	-265	meV per atom
D(E_F)	3.75	states/eV/f.u.
calculated total energy	-5.56	eV/atom

a = 3.296 Å, b = 5.426 Å, c = 5.426 Å
α = 104.42°, β = 90.00°, γ = 90.00°
Fractional positions:
1 Tl 0.000 0.500 0.000
2 Tl 0.000 0.000 0.500
3 Y 0.500 0.000 0.000
4 Zr 0.500 0.500 0.500

=====

[25]
Material: YZrTl
Method: DFT, PBEsol
State: optimized geometry

## Properties
SG	P-6m2, No. 187
DFT formation energy	-30	meV per atom
D(E_F)	2.78	states/eV/f.u.
calculated total energy	-6.21	eV/atom

a = 3.491 Å, b = 5.026 Å, c = 5.026 Å
α = 120.00°, β = 90.00°, γ = 90.00°
Fractional positions:
1 Tl 0.500 0.000 0.000
2 Y 0.000 0.333 0.667
3 Zr 0.500 0.667 0.333

=====

[26]
Material: YZrTl2
Method: DFT, PBEsol
State: optimized geometry

## Properties
SG	I4/mmm, No. 139
DFT formation energy	-260	meV per atom
D(E_F)	3.86	states/eV/f.u.
calculated total energy	-5.55	eV/atom

a = 4.696 Å, b = 4.696 Å, c = 5.412 Å
α = 115.71°, β = 115.71°, γ = 90.00°
Fractional positions:
1 Y 0.500 0.000 0.000
2 Tl 0.250 0.250 0.500
3 Tl 0.750 0.750 0.500
4 Zr 0.000 0.500 0.000